# 1
{
  "formula": "Y2CdSi",
  "functional": "PBE-GGA",
  "state": "relaxed",
  "lattice": [[7.9429, 0.0000, 0.0000], [0.0000, 7.9429, 0.0000], [3.9715, 3.9715, 3.4504]],
  "species": ["Y", "Y", "Y", "Y", "Si", "Si", "Cd", "Cd"],
  "frac_coords": [[0.5975, 0.1250, 0.2500], [0.1525, 0.6250, 0.2500], [0.3750, 0.4025, 0.7500], [0.8750, 0.8475, 0.7500], [0.5000, 0.5000, 0.0000], [0.2500, 0.7500, 0.5000], [0.0000, 0.0000, 0.0000], [0.7500, 0.2500, 0.5000]],
  "dos_at_fermi_per_ev_atom": 0.57,
  "space_group": "I-42d"
}

# 2
{
  "formula": "YCdSi2",
  "functional": "PBE-GGA",
  "state": "relaxed",
  "lattice": [[-1.3644, 1.9792, -3.4075], [-3.4038, -0.2782, 1.2013], [0.5493, 5.1046, 2.7450]],
  "species": ["Cd", "Si", "Si", "Y"],
  "frac_coords": [[0.5000, 0.7500, 0.7500], [0.0000, 0.7503, 0.0501], [0.0000, 0.7497, 0.4499], [0.5000, 0.2500, 0.2500]],
  "dos_at_fermi_per_ev_atom": 0.56,
  "space_group": "Pmmm"
}

# 3
{
  "formula": "Y2CdSi",
  "functional": "PBE-GGA",
  "state": "relaxed",
  "lattice": [[-3.2324, 0.9582, 0.8906], [0.8464, -1.5573, 3.0030], [2.9694, 7.2838, 2.9403]],
  "species": ["Cd", "Si", "Y", "Y"],
  "frac_coords": [[0.0000, 0.0000, 0.5410], [0.5000, 0.5000, 0.7298], [0.0000, 0.0000, 0.9498], [0.5000, 0.5000, 0.2795]],
  "dos_at_fermi_per_ev_atom": 0.98,
  "space_group": "Cmm2"
}

# 4
{
  "formula": "YCd2Si2",
  "functional": "PBE-GGA",
  "state": "relaxed",
  "lattice": [[-6.3571, 4.1150, 2.5808], [-4.0849, -2.2293, -6.5077], [-1.0852, -2.6793, 1.5990]],
  "species": ["Y", "Y", "Si", "Si", "Si", "Si", "Cd", "Cd", "Cd", "Cd"],
  "frac_coords": [[0.0000, 0.0000, 0.0000], [0.5000, 0.5000, 0.0000], [0.1803, 0.6803, 0.5000], [0.6803, 0.8197, 0.5000], [0.8197, 0.3197, 0.5000], [0.3197, 0.1803, 0.5000], [0.3771, 0.8771, 0.0000], [0.8771, 0.6229, 0.0000], [0.6229, 0.1229, 0.0000], [0.1229, 0.3771, 0.0000]],
  "dos_at_fermi_per_ev_atom": 0.44,
  "space_group": "P4/mbm"
}

Here are the calculated formation energy without anion corrections numbers, same order: -0.148; -0.188; -0.095; 0.096 (eV/atom).